1.
The following is a PBE calculation of LuHfPd2 after structural relaxation, from Alexandria.

Results
- Total magnetization: 0.00 μB/atom
- Energy above the most stable polymorph in this dataset: 197 meV per atom
- Energy of formation: -0.588 eV per atom
- Uncorrected energy: -6.80 eV/atom
- Volume: 21.44 A^3/atom
- Crystal system: trigonal
- Density: 10.96 g cm⁻³

```
4
Lattice="-2.4359 -1.9409 -2.3436 -2.5770 -2.5040 1.5108 -6.0311 3.3337 0.2663" Properties=species:S:1:pos:R:3 pbc="T T T"
Pd -8.3689 -0.7385 -0.4142
Hf 0.0000 0.0000 0.0000
Lu -5.5220 -0.5556 -0.2833
Pd -2.6751 -0.3727 -0.1524
```

2.
The following is a PBE calculation of LuHfPdPt after structural relaxation, from Alexandria.

Results
- Total magnetization: 0.00 μB/atom
- Energy of formation: -0.958 eV per atom
- Uncorrected energy: -7.38 eV/atom
- Volume: 19.16 A^3/atom
- Crystal system: cubic
- Density: 14.19 g cm⁻³

```
4
Lattice="4.7680 0.0000 0.0000 2.3840 4.1292 0.0000 2.3840 1.3764 3.8930" Properties=species:S:1:pos:R:3 pbc="T T T"
Pt 7.1519 4.1292 2.9198
Hf 0.0000 0.0000 0.0000
Lu 4.7680 2.7528 1.9465
Pd 2.3840 1.3764 0.9733
```

3.
The following is a PBE calculation of LuHfPdRu after structural relaxation, from Alexandria.

Results
- Total magnetization: 0.00 μB/atom
- Energy of formation: -0.721 eV per atom
- Uncorrected energy: -7.96 eV/atom
- Volume: 18.43 A^3/atom
- Crystal system: cubic
- Density: 12.63 g cm⁻³

```
4
Lattice="-1.6283 -1.0141 -4.2982 1.2644 -4.0133 -2.1092 -3.1481 -3.4524 -0.5700" Properties=species:S:1:pos:R:3 pbc="T T T"
Lu 0.0000 0.0000 0.0000
Pd -0.8780 -2.1200 -1.7444
Hf -1.7560 -4.2399 -3.4887
Ru -2.6341 -6.3599 -5.2331
```

4.
The following is a PBE calculation of Pm2LuHf after structural relaxation, from Alexandria.

Results
- Total magnetization: 0.00 μB/atom
- Energy above the most stable polymorph in this dataset: 1 meV per atom
- Energy of formation: 0.161 eV per atom
- Uncorrected energy: -5.83 eV/atom
- Volume: 29.11 A^3/atom
- Crystal system: tetragonal
- Density: 9.18 g cm⁻³

```
4
Lattice="4.8176 0.0000 0.0000 0.0000 4.9163 0.0000 0.0000 0.0000 4.9163" Properties=species:S:1:pos:R:3 pbc="T T T"
Lu 2.4088 2.4581 2.4581
Hf 2.4088 0.0000 0.0000
Pm 0.0000 2.4581 0.0000
Pm 0.0000 0.0000 2.4581
```

5.
The following is a PBE calculation of Pm2LuHf after structural relaxation, from Alexandria.

Results
- Total magnetization: 0.00 μB/atom
- Energy above the most stable polymorph in this dataset: 49 meV per atom
- Energy of formation: 0.209 eV per atom
- Uncorrected energy: -5.78 eV/atom
- Volume: 29.32 A^3/atom
- Crystal system: tetragonal
- Density: 9.11 g cm⁻³

```
4
Lattice="-1.4871 2.9644 -2.2751 -3.2907 0.1214 2.3091 3.1925 4.8957 4.2922" Properties=species:S:1:pos:R:3 pbc="T T T"
Hf -0.7926 3.9908 2.1631
Pm 2.3221 3.5610 3.1219
Pm 0.8704 1.3348 1.1702
Lu -2.3889 1.5429 0.0170
```

6.
The following is a PBE calculation of Pm2LuHf after structural relaxation, from Alexandria.

Results
- Total magnetization: 0.00 μB/atom
- Energy above the most stable polymorph in this dataset: 0 meV per atom
- Energy of formation: 0.160 eV per atom
- Uncorrected energy: -5.83 eV/atom
- Volume: 29.24 A^3/atom
- Crystal system: trigonal
- Density: 9.13 g cm⁻³

```
4
Lattice="-1.1707 -2.8201 1.6087 1.5292 -3.0485 -0.5289 7.1501 0.0674 9.0237" Properties=species:S:1:pos:R:3 pbc="T T T"
Pm 5.7316 -4.3220 7.7012
Pm 1.7769 -1.4791 2.4024
Lu 3.7543 -2.9006 5.0518
Hf 0.0000 0.0000 0.0000
```

7.
The following is a PBE calculation of PmLuHfTh after structural relaxation, from Alexandria.

Results
- Total magnetization: 0.00 μB/atom
- Energy of formation: 0.187 eV per atom
- Uncorrected energy: -6.47 eV/atom
- Volume: 28.91 A^3/atom
- Crystal system: cubic
- Density: 10.49 g cm⁻³

```
4
Lattice="5.4686 0.0000 0.0000 2.7343 4.7359 0.0000 2.7343 1.5786 4.4651" Properties=species:S:1:pos:R:3 pbc="T T T"
Th 0.0000 0.0000 0.0000
Hf 2.7343 1.5786 1.1163
Pm 5.4686 3.1573 2.2325
Lu 8.2029 4.7359 3.3488
```

8.
The following is a PBE calculation of PrLuHfTh after structural relaxation, from Alexandria.

Results
- Total magnetization: 0.00 μB/atom
- Energy of formation: 0.197 eV per atom
- Uncorrected energy: -6.47 eV/atom
- Volume: 29.21 A^3/atom
- Crystal system: cubic
- Density: 10.32 g cm⁻³

```
4
Lattice="-2.7863 1.6580 4.4274 -5.4834 -0.2149 0.0305 -2.5844 -3.6753 3.1508" Properties=species:S:1:pos:R:3 pbc="T T T"
Lu -8.1406 -1.6742 5.7066
Pr 0.0000 0.0000 0.0000
Hf -2.7135 -0.5581 1.9022
Th -5.4271 -1.1161 3.8044
```